Compound: NdHoPd2
Source: the Alexandria database
Functional: GGA-PBE
Structure: optimized geometry

POSCAR file:
```
NdHoPd2
1.0
-4.756 0.669 1.529
-2.775 -3.964 1.411
-1.200 -0.637 4.854
Ho Pd Nd
1 2 1
Direct
0.000 0.000 0.000
0.750 0.750 0.750
0.250 0.250 0.250
0.500 0.500 0.500
```

Output
The calculation puts the calculated formation energy at -0.806 eV/atom. For the energy above the lowest structure with this stoichiometry, the calculation gives 0.0545 eV/atom. The calculation puts the volume at 90.6 Å³ per cell.